# 1
## Al2SbAs (GGA-PBE)

Data for a geometry-optimized Al2SbAs structure.

Final energy, eV per atom: -4.154
Space group: Cm, No. 8

a = 7.479 Å, b = 3.659 Å, c = 6.754 Å
α = 90.00°, β = 90.23°, γ = 90.00°
Sites, in units of the cell vectors:
Al: 0.000 0.000 0.000
Al: 0.169 0.000 0.445
Al: 0.500 0.500 0.000
Al: 0.669 0.500 0.445
Sb: 0.203 0.500 0.775
Sb: 0.703 0.000 0.775
As: 0.472 0.000 0.276
As: 0.972 0.500 0.276

***

# 2
## AlSb2As (GGA-PBE)

Data for a geometry-optimized AlSb2As structure.

Final energy, eV per atom: -3.860
Space group: F-43m, No. 216

a = 7.158 Å, b = 7.158 Å, c = 7.158 Å
α = 90.00°, β = 90.00°, γ = 90.00°
Sites, in units of the cell vectors:
Al: 0.000 0.000 0.000
Al: 0.000 0.500 0.500
Al: 0.500 0.000 0.500
Al: 0.500 0.500 0.000
Sb: 0.000 0.000 0.500
Sb: 0.000 0.500 0.000
Sb: 0.250 0.250 0.750
Sb: 0.250 0.750 0.250
Sb: 0.500 0.000 0.000
Sb: 0.500 0.500 0.500
Sb: 0.750 0.250 0.250
Sb: 0.750 0.750 0.750
As: 0.250 0.250 0.250
As: 0.250 0.750 0.750
As: 0.750 0.250 0.750
As: 0.750 0.750 0.250

***

# 3
## Al2SbAs (GGA-PBE)

Data for a geometry-optimized Al2SbAs structure.

Final energy, eV per atom: -3.986
Space group: P2/m, No. 10

a = 4.911 Å, b = 3.744 Å, c = 5.050 Å
α = 90.00°, β = 108.44°, γ = 90.00°
Sites, in units of the cell vectors:
Al: 0.224 0.000 0.274
Al: 0.776 0.000 0.726
Sb: 0.500 0.500 0.000
As: 0.000 0.500 0.500

***

# 4
## Al2SbAs (GGA-PBE)

Data for a geometry-optimized Al2SbAs structure.

Final energy, eV per atom: -3.867
Space group: Immm, No. 71

a = 3.484 Å, b = 5.026 Å, c = 9.418 Å
α = 90.00°, β = 90.00°, γ = 90.00°
Sites, in units of the cell vectors:
Al: 0.000 0.000 0.221
Al: 0.000 0.000 0.779
Al: 0.500 0.500 0.279
Al: 0.500 0.500 0.721
Sb: 0.000 0.500 0.000
Sb: 0.500 0.000 0.500
As: 0.000 0.500 0.500
As: 0.500 0.000 0.000

***

# 5
## AlSbAs2 (GGA-PBE)

Data for a geometry-optimized AlSbAs2 structure.

Final energy, eV per atom: -4.017
Space group: P4/mmm, No. 123

a = 4.826 Å, b = 4.826 Å, c = 3.554 Å
α = 90.00°, β = 90.00°, γ = 90.00°
Sites, in units of the cell vectors:
Al: 0.000 0.000 0.000
Sb: 0.500 0.500 0.000
As: 0.000 0.500 0.500
As: 0.500 0.000 0.500

***

# 6
## AlSbAs2 (GGA-PBE)

Data for a geometry-optimized AlSbAs2 structure.

Final energy, eV per atom: -4.287
Space group: R3m, No. 160

a = 3.990 Å, b = 3.990 Å, c = 22.696 Å
α = 90.00°, β = 90.00°, γ = 120.00°
Sites, in units of the cell vectors:
Al: 0.000 0.000 0.000
Al: 0.333 0.667 0.667
Al: 0.667 0.333 0.333
Sb: 0.000 0.000 0.214
Sb: 0.333 0.667 0.881
Sb: 0.667 0.333 0.547
As: 0.000 0.000 0.482
As: 0.000 0.000 0.699
As: 0.333 0.667 0.149
As: 0.333 0.667 0.366
As: 0.667 0.333 0.033
As: 0.667 0.333 0.816

***

# 7
## AlSbAs2 (GGA-PBE)

Data for a geometry-optimized AlSbAs2 structure.

Final energy, eV per atom: -3.997
Space group: C2/m, No. 12

a = 5.896 Å, b = 10.057 Å, c = 2.953 Å
α = 90.00°, β = 107.58°, γ = 90.00°
Sites, in units of the cell vectors:
Al: 0.000 0.000 0.000
Al: 0.500 0.500 0.000
Sb: 0.000 0.500 0.000
Sb: 0.500 0.000 0.000
As: 0.250 0.250 0.500
As: 0.250 0.750 0.500
As: 0.750 0.250 0.500
As: 0.750 0.750 0.500

***

# 8
## Al2SbAs (GGA-PBE)

Data for a geometry-optimized Al2SbAs structure.

Final energy, eV per atom: -4.137
Space group: Pmm2, No. 25

a = 3.714 Å, b = 3.737 Å, c = 6.655 Å
α = 90.00°, β = 90.00°, γ = 90.00°
Sites, in units of the cell vectors:
Al: 0.000 0.000 0.000
Al: 0.500 0.500 0.441
Sb: 0.500 0.500 0.854
As: 0.000 0.000 0.370